No. 1
An optimized crystal structure of HfNp2TaN5, computed with PBE.

abc: 3.3311 6.9180 10.3843
angles: 90.00 90.00 103.93
Each line ends with the local moment (μB).
Sites, in units of the cell vectors:
Hf1 0.7814 0.5628 0.5058  0.12
Hf2 0.2186 0.4372 0.0058  0.12
Np1 0.8556 0.7113 0.7868  3.47
Np2 0.1103 0.2206 0.6945  3.45
Np3 0.1444 0.2887 0.2868  3.47
Np4 0.8897 0.7794 0.1945  3.45
Ta1 0.5238 0.0475 0.9640  0.22
Ta2 0.4762 0.9525 0.4640  0.22
N1 0.3754 0.7508 0.0034  -0.07
N2 0.6810 0.3619 0.8743  -0.07
N3 0.4888 0.9777 0.7769  -0.09
N4 0.2767 0.5535 0.6564  -0.11
N5 0.9441 0.8882 0.5619  -0.02
N6 0.6246 0.2492 0.5034  -0.07
N7 0.3190 0.6381 0.3743  -0.07
N8 0.5112 0.0223 0.2769  -0.09
N9 0.7233 0.4465 0.1564  -0.11
N10 0.0559 0.1118 0.0619  -0.02

Total DFT energy (no corrections) in eV/atom: -11.146
Calculated density in g cm⁻³: 12.92


No. 2
An optimized crystal structure of Tb3HfNp3N8, computed with PBE.

abc: 6.8097 6.8098 6.8732
angles: 119.70 90.00 119.99
Each line ends with the local moment (μB).
Sites, in units of the cell vectors:
Tb1 0.0000 0.0000 0.0000  0.18
Tb2 0.0000 0.5000 0.0000  0.18
Tb3 0.5000 0.5000 0.0000  0.18
Hf1 0.0000 0.0000 0.5000  0.03
Np1 0.5000 0.0000 0.5000  3.04
Np2 0.5000 0.5000 0.5000  3.04
Np3 0.0000 0.5000 0.5000  3.04
N1 0.2514 0.5027 0.2541  -0.11
N2 0.7486 0.4973 0.7459  -0.11
N3 0.7710 0.5419 0.2876  -0.11
N4 0.2290 0.4581 0.7124  -0.11
N5 0.7709 0.0165 0.2875  -0.11
N6 0.2291 0.9835 0.7125  -0.11
N7 0.2456 0.0165 0.2876  -0.11
N8 0.7544 0.9835 0.7124  -0.11

Total DFT energy (no corrections) in eV/atom: -9.959
Calculated density in g cm⁻³: 10.84


Table of density of states at the Fermi level (states/eV/atom), in record order: 1.540 1.199
Table of uncorrected formation energy (eV per atom), in record order: -1.222 -1.341
Table of magnetic moment (μB/f.u.), in record order: 7.39 9.40